i:
# PaCrMo2

A geometry-optimized PaCrMo2 structure (GGA-PBE, Alexandria via LeMat-Bulk).

a = 2.9428 Å, b = 2.9428 Å, c = 27.7382 Å
α = 90.00°, β = 90.00°, γ = 120.00°
With the nearest neighbours (Å) after each atom.
Space group R-3m (No. 166, hexagonal axes)
Inequivalent atoms, fractional coordinates:
Pa: 0.0000 0.0000 0.0000 x3  2 Mo 2.69, 6 Pa 2.94
Cr: 0.0000 0.0000 0.5000 x3  6 Mo 2.57
Mo: 0.0000 0.0000 0.0971 x6  3 Cr 2.57, 1 Pa 2.69

Results
The density of states at the Fermi level comes out at 13.5 states/eV/cell.

ii:
# PaCrMo2

A geometry-optimized PaCrMo2 structure (GGA-PBE, Alexandria via LeMat-Bulk).

a = 3.2698 Å, b = 3.2698 Å, c = 6.3590 Å
α = 90.00°, β = 90.00°, γ = 90.00°
With the nearest neighbours (Å) after each atom.
Space group P4/mmm (No. 123)
Inequivalent atoms, fractional coordinates:
Pa: 0.0000 0.0000 0.0000 x1  8 Mo 2.88, 2 Cr 3.18
Cr: 0.0000 0.0000 0.5000 x1  8 Mo 2.74
Mo: 0.5000 0.5000 0.2700 x2  4 Cr 2.74, 4 Pa 2.88, 1 Mo 2.93

Results
The density of states at the Fermi level comes out at 4.2 states/eV/cell.

Of the structures shown above, i is the least stable.